## A
# Er3TmCd2 (GGA-PBE, relaxed)
data_Er3TmCd2
_chemical_formula_sum 'Er3 Tm1 Cd2'
_symmetry_space_group_name_H-M 'P 1'
_symmetry_Int_Tables_number 1
_symmetry_space_group_name_Hall 'P 1'
_cell_length_a 3.5486
_cell_length_b 3.5486
_cell_length_c 13.0513
_cell_angle_alpha 90.00
_cell_angle_beta 90.00
_cell_angle_gamma 90.00
loop_
_atom_site_label
_atom_site_type_symbol
_atom_site_fract_x
_atom_site_fract_y
_atom_site_fract_z
Cd1 Cd 0.5000 0.5000 0.8456
Cd2 Cd 0.5000 0.5000 0.1544
Er1 Er 0.0000 0.0000 0.6868
Er2 Er 0.0000 0.0000 0.0000
Er3 Er 0.0000 0.0000 0.3132
Tm1 Tm 0.5000 0.5000 0.5000
# N(E_F)   6.3 states/eV/cell
# Space group   No. 123



## B
# Er3TmCd2 (GGA-PBE, relaxed)
data_Er3TmCd2
_chemical_formula_sum 'Er6 Tm2 Cd4'
_symmetry_space_group_name_H-M 'P 1'
_symmetry_Int_Tables_number 1
_symmetry_space_group_name_Hall 'P 1'
_cell_length_a 5.1684
_cell_length_b 6.8104
_cell_length_c 9.3168
_cell_angle_alpha 90.00
_cell_angle_beta 90.00
_cell_angle_gamma 90.00
loop_
_atom_site_label
_atom_site_type_symbol
_atom_site_fract_x
_atom_site_fract_y
_atom_site_fract_z
Er1 Er 0.0000 0.9806 0.0433
Er2 Er 0.5000 0.6801 0.1787
Er3 Er 0.5000 0.1801 0.8213
Er4 Er 0.0000 0.8197 0.6774
Er5 Er 0.0000 0.4806 0.9567
Er6 Er 0.0000 0.3197 0.3226
Cd1 Cd 0.5000 0.7243 0.8504
Cd2 Cd 0.5000 0.2243 0.1496
Cd3 Cd 0.0000 0.2758 0.6493
Cd4 Cd 0.0000 0.7758 0.3507
Tm1 Tm 0.5000 0.5195 0.5432
Tm2 Tm 0.5000 0.0195 0.4568
# N(E_F)   8.4 states/eV/cell
# Space group   No. 26



Verdict on stability: A comes out at the bottom.



## A
# ErTm3Cd (GGA-PBE, relaxed)
data_ErTm3Cd
_chemical_formula_sum 'Er2 Tm6 Cd2'
_symmetry_space_group_name_H-M 'P 1'
_symmetry_Int_Tables_number 1
_symmetry_space_group_name_Hall 'P 1'
_cell_length_a 3.6557
_cell_length_b 9.0302
_cell_length_c 9.4687
_cell_angle_alpha 90.00
_cell_angle_beta 90.00
_cell_angle_gamma 78.28
loop_
_atom_site_label
_atom_site_type_symbol
_atom_site_fract_x
_atom_site_fract_y
_atom_site_fract_z
Cd1 Cd 0.6650 0.1689 0.7500
Cd2 Cd 0.3350 0.8311 0.2500
Er1 Er 0.4888 0.5241 0.7500
Er2 Er 0.5112 0.4759 0.2500
Tm1 Tm 0.3000 0.8996 0.7500
Tm2 Tm 0.1024 0.2946 0.5059
Tm3 Tm 0.8976 0.7054 0.0059
Tm4 Tm 0.1024 0.2946 0.9941
Tm5 Tm 0.7000 0.1004 0.2500
Tm6 Tm 0.8976 0.7054 0.4941
# N(E_F)   16.5 states/eV/cell
# Space group   No. 11



## B
# ErTm3Cd (GGA-PBE, relaxed)
data_ErTm3Cd
_chemical_formula_sum 'Er2 Tm6 Cd2'
_symmetry_space_group_name_H-M 'P 1'
_symmetry_Int_Tables_number 1
_symmetry_space_group_name_Hall 'P 1'
_cell_length_a 3.5726
_cell_length_b 6.6300
_cell_length_c 12.5182
_cell_angle_alpha 85.94
_cell_angle_beta 90.01
_cell_angle_gamma 74.37
loop_
_atom_site_label
_atom_site_type_symbol
_atom_site_fract_x
_atom_site_fract_y
_atom_site_fract_z
Cd1 Cd 0.5605 0.8784 0.6265
Cd2 Cd 0.4395 0.1216 0.3735
Er1 Er 0.7663 0.4678 0.2428
Er2 Er 0.2337 0.5322 0.7572
Tm1 Tm 0.8541 0.2917 0.5561
Tm2 Tm 0.1459 0.7083 0.4439
Tm3 Tm 0.3654 0.2695 0.0197
Tm4 Tm 0.9664 0.0673 0.8117
Tm5 Tm 0.0336 0.9327 0.1883
Tm6 Tm 0.6346 0.7305 0.9803
# N(E_F)   14.1 states/eV/cell
# Space group   No. 12



Verdict on stability: A comes out at the bottom.